Below is crystalline ZrCu2MoCl at its relaxed geometry, with properties calculated at the PBE level.

Electronic total energy, eV/atom: -5.058
Mass density, g/cm3: 6.72
Energy relative to the elements, uncorrected, eV per atom: 0.826
DOS at the Fermi energy, states/eV per cell: 4.07

Unit cell a=4.3619 b=4.3619 c=4.5437 alpha=90.00 beta=90.00 gamma=90.00
Closest atoms and distances in Å follow each position.
Space group P4/mmm (No. 123)
Inequivalent atoms, fractional coordinates:
1 Zr 0.0000 0.0000 0.0000 (multiplicity 1)  4 Mo 3.08, 8 Cu 3.15
2 Cu 0.0000 0.5000 0.5000 (multiplicity 2)  2 Cl 2.18
3 Mo 0.5000 0.5000 0.0000 (multiplicity 1)  2 Cl 2.27
4 Cl 0.5000 0.5000 0.5000 (multiplicity 1)  4 Cu 2.18, 2 Mo 2.27

=====

Below is crystalline CuN2Cl at its relaxed geometry, with properties calculated at the PBE level.

Electronic total energy, eV/atom: -3.912
Mass density, g/cm3: 3.92
Energy relative to the elements, uncorrected, eV per atom: 1.736
DOS at the Fermi energy, states/eV per cell: 8.05

Unit cell a=5.1558 b=5.1558 c=8.1060 alpha=90.00 beta=90.00 gamma=90.00
Closest atoms and distances in Å follow each position.
Space group I-42d (No. 122)
Inequivalent atoms, fractional coordinates:
1 Cu 0.0000 0.0000 0.0000 (multiplicity 4)  4 N 1.86
2 N 0.1698 0.2500 0.1250 (multiplicity 8)  2 Cu 1.86
3 Cl 0.0000 0.0000 0.5000 (multiplicity 4)  4 N 2.36

=====

Quick rundown of calculated volume, same order as above: 86, 215 Å³ per cell